1.
An optimized crystal structure of CsAcTl2Cl6, computed with PBE.

**Calculated volume**: 40.84 Å³ per atom
**ΔE_f (raw)**: -1793.4 meV/atom
**Fermi-level density of states**: 0.000 states/eV per atom
**Magnetization**: 0.00 μB/f.u.

abc: 8.153 8.150 8.515
angles: 90.01 118.61 119.99
Fractional coordinates of all 10 atoms:
1 Cs 0.014 0.506 0.506
2 Ac 0.987 0.993 0.966
3 Tl 0.580 0.789 0.356
4 Tl 0.599 0.299 0.885
5 Cl 0.552 0.928 0.697
6 Cl 0.443 0.087 0.166
7 Cl 0.827 0.738 0.166
8 Cl 0.093 0.354 0.166
9 Cl 0.783 0.623 0.697
10 Cl 0.088 0.159 0.697

---

2.
An optimized crystal structure of KAlIn2, computed with PBE.

**Calculated volume**: 29.94 Å³ per atom
**Formation energy from the elements**: 0.161 eV per atom
**Fermi-level density of states**: 0.511 states/eV per atom
**Magnetization**: 0.00 μB/f.u.

abc: 6.004 6.004 6.004
angles: 138.20 121.83 74.16
Fractional coordinates of all 4 atoms:
1 K 0.750 0.250 0.500
2 Al 0.250 0.750 0.500
3 In 0.041 0.041 0.000
4 In 0.459 0.459 0.000

---

3.
An optimized crystal structure of SnH3Pd5, computed with PBE.

**Calculated volume**: 11.99 Å³ per atom
**Calculated total energy**: -4.622 eV/atom
**Fermi-level density of states**: 0.318 states/eV per atom
**Magnetization**: 0.00 μB/f.u.

abc: 5.811 5.811 9.212
angles: 58.35 58.35 61.05
Fractional coordinates of all 18 atoms:
1 Sn 0.092 0.092 0.686
2 Sn 0.908 0.908 0.314
3 H 0.695 0.695 0.837
4 H 0.623 0.623 0.245
5 H 0.000 0.000 0.000
6 H 0.000 0.000 0.500
7 H 0.305 0.305 0.163
8 H 0.377 0.377 0.755
9 Pd 0.917 0.401 0.331
10 Pd 0.276 0.724 0.000
11 Pd 0.764 0.764 0.990
12 Pd 0.397 0.397 0.352
13 Pd 0.603 0.603 0.648
14 Pd 0.236 0.236 0.010
15 Pd 0.401 0.917 0.331
16 Pd 0.724 0.276 0.000
17 Pd 0.083 0.599 0.669
18 Pd 0.599 0.083 0.669

---

4.
An optimized crystal structure of TcW2Cl, computed with PBE.

**Calculated volume**: 15.39 Å³ per atom
**ΔE_f (raw)**: 888.6 meV/atom
**Fermi-level density of states**: 0.862 states/eV per atom
**Magnetization**: 0.00 μB/f.u.

abc: 4.638 4.638 2.862
angles: 90.00 90.00 90.00
Fractional coordinates of all 4 atoms:
1 Cl 0.500 0.000 0.500
2 Tc 0.000 0.500 0.500
3 W 0.000 0.000 0.000
4 W 0.500 0.500 0.000

---

5.
An optimized crystal structure of PrPu2ReN4, computed with PBE.

**Calculated volume**: 14.62 Å³ per atom
**ΔE_f (raw)**: -891.8 meV/atom
**Fermi-level density of states**: 1.249 states/eV per atom
**Magnetization**: 8.03 μB/f.u.

abc: 3.376 6.193 11.631
angles: 90.00 90.00 105.82
Site moments in Bohr magnetons follow the coordinates.
Fractional coordinates of all 16 atoms:
1 Pr 0.113 0.225 0.750  -0.02
2 Pr 0.887 0.775 0.250  -0.02
3 Pu 0.368 0.737 0.546  4.37
4 Pu 0.632 0.263 0.046  4.37
5 Pu 0.632 0.263 0.454  4.37
6 Pu 0.368 0.737 0.954  4.37
7 Re 0.852 0.704 0.750  -0.33
8 Re 0.148 0.296 0.250  -0.33
9 N 0.265 0.529 0.121  -0.13
10 N 0.735 0.471 0.621  -0.13
11 N 0.735 0.471 0.879  -0.13
12 N 0.265 0.529 0.379  -0.13
13 N 0.000 0.000 0.500  -0.23
14 N 0.000 0.000 0.000  -0.23
15 N 0.454 0.909 0.750  -0.04
16 N 0.546 0.091 0.250  -0.04

---

6.
An optimized crystal structure of BaZr2Al, computed with PBE.

**Calculated volume**: 25.95 Å³ per atom
**Formation energy from the elements**: 0.409 eV per atom
**Fermi-level density of states**: 1.132 states/eV per atom
**Magnetization**: 0.91 μB/f.u.

abc: 5.275 5.275 5.275
angles: 60.00 60.00 60.00
Site moments in Bohr magnetons follow the coordinates.
Fractional coordinates of all 4 atoms:
1 Ba 0.750 0.750 0.750  0.01
2 Zr 0.000 0.000 0.000  0.43
3 Zr 0.250 0.250 0.250  0.21
4 Al 0.500 0.500 0.500  -0.02

---

7.
An optimized crystal structure of MoRuRh3, computed with PBE.

**Calculated volume**: 14.38 Å³ per atom
**Formation energy from the elements**: -0.113 eV per atom
**Fermi-level density of states**: 0.916 states/eV per atom
**Magnetization**: 0.00 μB/f.u.

abc: 4.362 4.760 7.328
angles: 109.08 90.00 90.00
Fractional coordinates of all 10 atoms:
1 Mo 0.250 0.468 0.106
2 Mo 0.750 0.532 0.894
3 Ru 0.250 0.263 0.697
4 Ru 0.750 0.737 0.303
5 Rh 0.250 0.874 0.901
6 Rh 0.750 0.126 0.099
7 Rh 0.250 0.061 0.295
8 Rh 0.750 0.939 0.705
9 Rh 0.250 0.669 0.506
10 Rh 0.750 0.331 0.494

---

8.
An optimized crystal structure of MgCu4Mo, computed with PBE.

**Calculated volume**: 13.83 Å³ per atom
**Formation energy from the elements**: 0.196 eV per atom
**Fermi-level density of states**: 0.476 states/eV per atom
**Magnetization**: 2.13 μB/f.u.

abc: 4.896 4.896 4.896
angles: 60.00 60.00 60.00
Site moments in Bohr magnetons follow the coordinates.
Fractional coordinates of all 6 atoms:
1 Mg 0.750 0.750 0.750  -0.01
2 Cu 0.875 0.375 0.375  0.06
3 Cu 0.375 0.375 0.875  0.06
4 Cu 0.375 0.875 0.375  0.06
5 Cu 0.375 0.375 0.375  0.06
6 Mo 0.000 0.000 0.000  1.77

---

9.
An optimized crystal structure of SrLiP2, computed with PBE.

**Calculated volume**: 20.11 Å³ per atom
**Formation energy from the elements**: -0.299 eV per atom
**Fermi-level density of states**: 0.280 states/eV per atom
**Magnetization**: 0.00 μB/f.u.

abc: 3.182 3.182 7.946
angles: 90.00 90.00 90.00
Fractional coordinates of all 4 atoms:
1 Li 0.500 0.500 0.750
2 P 0.000 0.000 0.976
3 P 0.000 0.000 0.524
4 Sr 0.500 0.500 0.250

---

10.
An optimized crystal structure of SeBr2, computed with PBE.

**Calculated volume**: 38.00 Å³ per atom
**ΔE_f (raw)**: 296.5 meV/atom
**Fermi-level density of states**: 1.000 states/eV per atom
**Magnetization**: 0.01 μB/f.u.

abc: 7.263 7.263 2.496
angles: 90.00 90.00 120.00
Fractional coordinates of all 3 atoms:
1 Br 0.333 0.667 0.500
2 Br 0.667 0.333 0.500
3 Se 0.000 0.000 0.000

---

11.
An optimized crystal structure of HfSbTe2Rh, computed with PBE.

**Calculated volume**: 32.70 Å³ per atom
**ΔE_f (raw)**: 679.2 meV/atom
**Fermi-level density of states**: 1.466 states/eV per atom
**Magnetization**: 1.27 μB/f.u.

abc: 5.456 5.456 5.491
angles: 90.00 90.00 90.00
Site moments in Bohr magnetons follow the coordinates.
Fractional coordinates of all 5 atoms:
1 Sb 0.000 0.000 0.500  -0.01
2 Te 0.000 0.500 0.000  0.03
3 Te 0.500 0.000 0.000  0.03
4 Hf 0.000 0.000 0.000  0.03
5 Rh 0.500 0.500 0.500  1.06

---

12.
An optimized crystal structure of Er7Sn2Pb2, computed with PBE.

**Calculated volume**: 30.93 Å³ per atom
**Formation energy from the elements**: -0.152 eV per atom
**Fermi-level density of states**: 0.907 states/eV per atom
**Magnetization**: 0.00 μB/f.u.

abc: 6.775 7.831 6.775
angles: 90.00 108.86 90.00
Fractional coordinates of all 11 atoms:
1 Er 0.000 0.293 0.500
2 Er 0.500 0.707 0.000
3 Er 0.000 0.707 0.500
4 Er 0.500 0.293 0.000
5 Er 0.000 0.000 0.000
6 Er 0.500 0.734 0.500
7 Er 0.500 0.266 0.500
8 Sn 0.819 0.500 0.819
9 Sn 0.181 0.500 0.181
10 Pb 0.706 0.000 0.294
11 Pb 0.294 0.000 0.706